No. 1
Compound: NdEr4Sc5
Source: the Alexandria database
Functional: PBE
Structure: relaxed Values from VASP.

Structure (Quantum ESPRESSO input):
```
&SYSTEM
  ibrav = 0, nat = 10, ntyp = 3
/
ATOMIC_SPECIES
Nd 144.24 Nd.upf
Er 167.26 Er.upf
Sc 44.96 Sc.upf
CELL_PARAMETERS angstrom
3.3283 0.0000 0.7603
1.9995 5.3600 -1.0878
-1.9761 -4.3007 16.3169
ATOMIC_POSITIONS angstrom
Nd 0.0000 0.0000 0.0000
Er 1.2141 -1.5112 10.0162
Er 1.0615 1.3008 3.0187
Er 2.2902 -0.2416 12.9706
Er 2.1376 2.5704 5.9731
Sc 1.0860 1.8130 10.5770
Sc 2.2657 -0.7537 5.4123
Sc 0.1580 -2.2663 14.6396
Sc 0.0117 0.5296 7.6145
Sc 3.1937 3.3255 1.3497
```

Values from the calculation:
formation energy from the elements	0.059	eV per atom
energy above the most stable polymorph in this dataset	0.0	kJ/mol of atoms
uncorrected energy	-5.409	eV per atom
total moment	0.00	Bohr magnetons per cell
SG	No. 12

No. 2
Compound: NdEr2Sc
Source: the Alexandria database
Functional: PBE
Structure: relaxed Values from VASP.

Structure (Quantum ESPRESSO input):
```
&SYSTEM
  ibrav = 0, nat = 4, ntyp = 3
/
ATOMIC_SPECIES
Nd 144.24 Nd.upf
Er 167.26 Er.upf
Sc 44.96 Sc.upf
CELL_PARAMETERS angstrom
3.5204 0.0000 0.0000
1.7602 3.0488 0.0000
1.7602 1.0163 11.2408
ATOMIC_POSITIONS angstrom
Nd 3.5204 2.0325 5.6025
Er 1.7602 1.0163 8.5796
Er 1.7602 1.0163 2.6630
Sc 3.5204 2.0325 0.0161
```

Values from the calculation:
formation energy from the elements	0.046	eV per atom
energy above the most stable polymorph in this dataset	1.9	kJ/mol of atoms
uncorrected energy	-5.010	eV per atom
total moment	0.00	Bohr magnetons per cell
SG	No. 160

No. 3
Compound: Nd12ErSc3
Source: the Alexandria database
Functional: PBE
Structure: relaxed Values from VASP.

Structure (Quantum ESPRESSO input):
```
&SYSTEM
  ibrav = 0, nat = 16, ntyp = 3
/
ATOMIC_SPECIES
Nd 144.24 Nd.upf
Er 167.26 Er.upf
Sc 44.96 Sc.upf
CELL_PARAMETERS angstrom
-4.5029 2.3349 -0.1763
-0.0872 -0.5491 -5.0448
-9.3501 -17.8727 2.1070
ATOMIC_POSITIONS angstrom
Nd -2.2951 0.8929 -2.6106
Nd -4.6505 -3.6095 -2.0798
Nd -6.9701 -8.0435 -1.5571
Nd -9.2897 -12.4774 -1.0344
Nd -3.4484 -1.1206 0.1816
Nd -5.7670 -5.5525 0.7041
Nd -8.0860 -9.9853 1.2266
Nd -10.4046 -14.4172 1.7491
Nd -1.2406 -2.5626 -2.2527
Nd -3.5592 -6.9945 -1.7302
Nd -5.8782 -11.4273 -1.2076
Nd -8.1967 -15.8593 -0.6852
Er 0.0000 0.0000 0.0000
Sc -2.3544 -4.5005 0.5306
Sc -4.6751 -8.9364 1.0535
Sc -6.9957 -13.3723 1.5764
```

Values from the calculation:
formation energy from the elements	0.031	eV per atom
uncorrected energy	-5.017	eV per atom
total moment	0.00	Bohr magnetons per cell
SG	No. 123

No. 4
Compound: NdEr2Sc
Source: the Alexandria database
Functional: PBE
Structure: relaxed Values from VASP.

Structure (Quantum ESPRESSO input):
```
&SYSTEM
  ibrav = 0, nat = 4, ntyp = 3
/
ATOMIC_SPECIES
Sc 44.96 Sc.upf
Nd 144.24 Nd.upf
Er 167.26 Er.upf
CELL_PARAMETERS angstrom
5.5623 0.0000 0.0000
2.7811 4.8171 0.0000
2.7811 1.6057 4.5416
ATOMIC_POSITIONS angstrom
Sc 5.5623 3.2114 2.2708
Nd 0.0000 0.0000 0.0000
Er 2.7811 1.6057 1.1354
Er 8.3434 4.8171 3.4062
```

Values from the calculation:
formation energy from the elements	0.152	eV per atom
energy above the most stable polymorph in this dataset	12.1	kJ/mol of atoms
uncorrected energy	-4.904	eV per atom
total moment	0.05	Bohr magnetons per cell
SG	No. 225

No. 5
Compound: NdEr5Sc2
Source: the Alexandria database
Functional: PBE
Structure: relaxed Values from VASP.

Structure (Quantum ESPRESSO input):
```
&SYSTEM
  ibrav = 0, nat = 32, ntyp = 3
/
ATOMIC_SPECIES
Nd 144.24 Nd.upf
Er 167.26 Er.upf
Sc 44.96 Sc.upf
CELL_PARAMETERS angstrom
-3.0833 -6.2696 0.2052
8.8952 -4.1454 7.0014
-5.7239 3.1133 9.1155
ATOMIC_POSITIONS angstrom
Nd -2.1108 -2.5339 9.9094
Nd 2.1989 -4.7678 6.4127
Nd -2.2817 -2.6772 2.9645
Nd 2.3697 -4.6245 13.3576
Er -5.1280 -3.0940 8.1516
Er 3.6441 -7.4039 8.2751
Er 0.7807 -2.1417 4.6501
Er 0.8792 -1.9637 11.5674
Er 5.2160 -4.2077 8.1705
Er -3.5561 0.1023 8.0470
Er -0.6927 -5.1599 11.6720
Er -0.7911 -5.3380 4.7547
Er -5.0178 -1.0691 10.9834
Er 5.1059 -6.2326 5.3388
Er -2.2004 -2.6050 6.3906
Er 2.2884 -4.6966 9.9316
Er -3.4635 2.0596 10.8835
Er 6.6349 -3.0916 5.2334
Er -0.6654 0.5326 6.2756
Er 3.8367 -1.5647 9.8413
Er -2.3271 -4.7318 0.1549
Er 0.8294 -2.0538 8.1088
Er -0.7563 -1.5378 0.0503
Er -0.7414 -5.2479 8.2133
Sc 3.8818 -1.4761 13.2249
Sc -0.7105 0.4441 2.8920
Sc 3.7759 -1.6497 6.3311
Sc -0.6045 0.6176 9.7858
Sc -5.1964 -3.1901 4.7131
Sc 3.6987 -3.5955 3.5505
Sc -3.6108 0.0339 4.6076
Sc 2.1132 -6.8195 3.6561
```

Values from the calculation:
formation energy from the elements	0.031	eV per atom
uncorrected energy	-5.000	eV per atom
total moment	0.00	Bohr magnetons per cell
SG	No. 55

No. 6
Compound: NdErSc2
Source: the Alexandria database
Functional: PBE
Structure: relaxed Values from VASP.

Structure (Quantum ESPRESSO input):
```
&SYSTEM
  ibrav = 0, nat = 4, ntyp = 3
/
ATOMIC_SPECIES
Sc 44.96 Sc.upf
Nd 144.24 Nd.upf
Er 167.26 Er.upf
CELL_PARAMETERS angstrom
-3.8208 -0.2928 -3.8630
-5.0828 -1.4392 1.3042
-3.9974 3.6882 -0.1580
ATOMIC_POSITIONS angstrom
Sc -3.2253 0.4890 -0.6792
Sc -9.6758 1.4671 -2.0376
Nd -6.4505 0.9781 -1.3584
Er 0.0000 0.0000 0.0000
```

Values from the calculation:
formation energy from the elements	0.082	eV per atom
energy above the most stable polymorph in this dataset	2.7	kJ/mol of atoms
uncorrected energy	-5.417	eV per atom
total moment	0.00	Bohr magnetons per cell
SG	No. 225

Question: Which of these has the lowest uncorrected energy?
Answer: NdErSc2

Question: Look up the total moment of the second one.
Answer: 0.00 Bohr magnetons per cell

Question: Which value of total moment does entry 1 give?
Answer: 0.00 Bohr magnetons per cell